A plane-wave DFT calculation with PBE-GGA was carried out for AcZn2Sb after structural relaxation.

```
AcZn2Sb
1.0
4.678 0.000 0.000
0.000 4.678 0.000
0.000 0.000 4.872
Ac Zn Sb
1 2 1
direct
0.000 0.000 0.000
0.000 0.500 0.500
0.500 0.000 0.500
0.500 0.500 0.000
```

Summary:
* uncorrected energy: -3.046 eV per atom
* DOS at the Fermi energy: 1.79 states/eV/cell
* uncorrected formation energy: -34 kJ per mole of atoms
* space-group type: No. 123
* crystal system: tetragonal

=====

A plane-wave DFT calculation with PBE-GGA was carried out for AcZnSb3 after structural relaxation.

```
AcZnSb3
1.0
5.314 0.000 0.000
0.000 5.314 0.000
0.000 0.000 5.314
Ac Zn Sb
1 1 3
direct
0.000 0.000 0.000
0.500 0.500 0.500
0.000 0.500 0.500
0.500 0.000 0.500
0.500 0.500 0.000
```

Summary:
* uncorrected energy: -3.723 eV per atom
* DOS at the Fermi energy: 3.43 states/eV/cell
* uncorrected formation energy: -17 kJ per mole of atoms
* space-group type: No. 221
* crystal system: cubic

=====

A plane-wave DFT calculation with PBE-GGA was carried out for AcZnSb2 after structural relaxation.

```
AcZnSb2
1.0
0.000 3.884 3.884
3.884 0.000 3.884
3.884 3.884 0.000
Ac Zn Sb
1 1 2
direct
0.000 0.000 0.000
0.500 0.500 0.500
0.250 0.250 0.250
0.750 0.750 0.750
```

Summary:
* E above lowest polymorph: 390 meV/atom
* uncorrected energy: -3.634 eV per atom
* DOS at the Fermi energy: 5.43 states/eV/cell
* uncorrected formation energy: -22 kJ per mole of atoms
* space-group type: No. 225
* crystal system: cubic

=====

A plane-wave DFT calculation with PBE-GGA was carried out for AcZn4Sb after structural relaxation.

```
AcZn4Sb
1.0
0.000 4.056 4.056
4.056 0.000 4.056
4.056 4.056 0.000
Ac Zn Sb
1 4 1
direct
0.000 0.000 0.000
0.131 0.623 0.623
0.623 0.131 0.623
0.623 0.623 0.131
0.623 0.623 0.623
0.250 0.250 0.250
```

Summary:
* uncorrected energy: -2.354 eV per atom
* DOS at the Fermi energy: 2.32 states/eV/cell
* uncorrected formation energy: -13 kJ per mole of atoms
* space-group type: No. 216
* crystal system: cubic

=====

A plane-wave DFT calculation with PBE-GGA was carried out for AcZnSb2 after structural relaxation.

```
AcZnSb2
1.0
2.492 1.439 5.433
-2.492 1.439 5.433
0.000 -2.877 5.433
Ac Zn Sb
1 1 2
direct
0.000 0.000 0.000
0.500 0.500 0.500
0.217 0.217 0.217
0.783 0.783 0.783
```

Summary:
* E above lowest polymorph: 220 meV/atom
* uncorrected energy: -3.804 eV per atom
* DOS at the Fermi energy: 3.12 states/eV/cell
* uncorrected formation energy: -38 kJ per mole of atoms
* space-group type: No. 166
* crystal system: trigonal

=====

A plane-wave DFT calculation with PBE-GGA was carried out for AcZnSb after structural relaxation.

```
AcZnSb
1.0
0.000 3.578 3.578
3.578 0.000 3.578
3.578 3.578 0.000
Ac Zn Sb
1 1 1
direct
0.000 0.000 0.000
0.750 0.750 0.750
0.500 0.500 0.500
```

Summary:
* E above lowest polymorph: 231 meV/atom
* uncorrected energy: -3.646 eV per atom
* DOS at the Fermi energy: 2.09 states/eV/cell
* uncorrected formation energy: -46 kJ per mole of atoms
* space-group type: No. 216
* crystal system: cubic

=====

A plane-wave DFT calculation with PBE-GGA was carried out for AcZn2Sb after structural relaxation.

```
AcZn2Sb
1.0
3.842 0.000 0.000
0.000 3.842 0.000
0.000 0.000 6.896
Ac Zn Sb
1 2 1
direct
0.000 0.000 0.000
0.500 0.500 0.302
0.500 0.500 0.698
0.000 0.000 0.500
```

Summary:
* uncorrected energy: -2.896 eV per atom
* DOS at the Fermi energy: 2.52 states/eV/cell
* uncorrected formation energy: -19 kJ per mole of atoms
* space-group type: No. 123
* crystal system: tetragonal

=====

A plane-wave DFT calculation with PBE-GGA was carried out for AcZnSb2 after structural relaxation.

```
AcZnSb2
1.0
4.664 0.000 0.000
0.000 4.664 0.000
0.000 0.000 10.504
Ac Zn Sb
2 2 4
direct
0.250 0.250 0.239
0.750 0.750 0.761
0.250 0.750 0.500
0.750 0.250 0.500
0.250 0.250 0.650
0.250 0.750 0.000
0.750 0.250 0.000
0.750 0.750 0.350
```

Summary:
* E above lowest polymorph: 0 meV/atom
* uncorrected energy: -4.024 eV per atom
* DOS at the Fermi energy: 2.80 states/eV/cell
* uncorrected formation energy: -60 kJ per mole of atoms
* space-group type: No. 129
* crystal system: tetragonal

=====

Q: uncorrected formation energy of number 3 (AcZnSb2)?
A: -22 kJ per mole of atoms